Record 1
The following is a PBE calculation of a geometry-optimized KInSe structure, from Alexandria via LeMat-Bulk. Values from VASP.

```
&SYSTEM
  ibrav = 0, nat = 3, ntyp = 3
/
ATOMIC_SPECIES
K 39.10 K.upf
In 114.82 In.upf
Se 78.96 Se.upf
ATOMIC_POSITIONS angstrom
K 0.0000 0.0000 0.0000
In 3.8183 3.8183 3.8183
Se 1.9092 1.9092 1.9092
CELL_PARAMETERS angstrom
0.0000 3.8183 3.8183
3.8183 0.0000 3.8183
3.8183 3.8183 0.0000
```

Summary:
Space-group type: F-43m
Raw formation energy, eV per atom: -0.595
E above lowest polymorph, eV per atom: 0.124
Total moment, μB/f.u.: 0.00

Record 2
The following is a PBE calculation of a geometry-optimized Ba5As2P structure, from Alexandria via LeMat-Bulk. Values from VASP.

```
&SYSTEM
  ibrav = 0, nat = 32, ntyp = 3
/
ATOMIC_SPECIES
Ba 137.33 Ba.upf
As 74.92 As.upf
P 30.97 P.upf
ATOMIC_POSITIONS angstrom
Ba 0.9980 1.3623 3.8282
Ba 1.2522 1.3623 15.9063
Ba 1.3510 1.3623 11.8312
Ba 1.4299 1.3623 23.1339
Ba 1.9721 1.3623 7.8408
Ba 3.5637 4.0868 19.5521
Ba 4.1059 4.0868 11.4226
Ba 4.1848 4.0868 0.1199
Ba 4.2837 4.0868 4.1950
Ba 4.5378 4.0868 15.5395
Ba 6.5338 1.3623 7.8831
Ba 6.7880 1.3623 19.2276
Ba 6.8869 1.3623 23.3028
Ba 6.9657 1.3623 12.0001
Ba 7.5079 1.3623 3.8705
Ba 9.0996 4.0868 15.5818
Ba 9.6418 4.0868 0.2887
Ba 9.7206 4.0868 11.5914
Ba 9.8195 4.0868 7.5163
Ba 10.0737 4.0868 19.5944
As 1.3927 4.0868 13.8069
As 1.4940 4.0868 5.8181
As 4.0418 1.3623 17.5295
As 4.1431 1.3623 2.0956
As 6.9286 4.0868 21.3270
As 7.0298 4.0868 5.8932
As 9.5777 1.3623 17.6045
As 9.6789 1.3623 9.6157
P 1.3164 4.0868 21.7345
P 4.2195 1.3623 10.0232
P 6.8522 4.0868 13.3994
P 9.7553 1.3623 1.6881
CELL_PARAMETERS angstrom
11.0717 0.0000 0.0000
0.0000 5.4491 0.0000
0.0000 0.0000 23.4226
```

Summary:
Energy, eV per atom: -3.954
Space-group type: Pnma
Total moment, μB/f.u.: 1.03

Record 3
The following is a PBE calculation of a geometry-optimized Ac2ThNpN4 structure, from Alexandria via LeMat-Bulk. Values from VASP.

```
&SYSTEM
  ibrav = 0, nat = 8, ntyp = 4
/
ATOMIC_SPECIES
Ac 227.00 Ac.upf
Th 232.04 Th.upf
Np 237.00 Np.upf
N 14.01 N.upf
ATOMIC_POSITIONS angstrom
Ac 0.0000 0.0000 0.0000
Ac 3.1792 1.8396 0.0000
Th -1.0433 1.8396 3.0808
Np 2.1360 0.0000 3.0808
N 0.1643 0.0000 4.3108
N 1.1567 1.8396 1.8663
N 3.1152 1.8396 4.2953
N 4.1076 0.0000 1.8508
CELL_PARAMETERS angstrom
6.3584 0.0000 0.0000
0.0000 3.6792 0.0000
-2.0865 0.0000 6.1616
```

Summary:
Space-group type: P2/m
Raw formation energy, eV per atom: -1.201
Total moment, μB/f.u.: 2.61

Record 4
The following is a PBE calculation of a geometry-optimized TbHoGaGe structure, from Alexandria via LeMat-Bulk. Values from VASP.

```
&SYSTEM
  ibrav = 0, nat = 4, ntyp = 4
/
ATOMIC_SPECIES
Tb 158.93 Tb.upf
Ho 164.93 Ho.upf
Ga 69.72 Ga.upf
Ge 72.64 Ge.upf
ATOMIC_POSITIONS angstrom
Tb 0.0000 0.0000 0.0000
Ho 3.5753 3.5753 3.5753
Ga 5.3629 5.3629 5.3629
Ge 1.7876 1.7876 1.7876
CELL_PARAMETERS angstrom
0.0000 3.5753 3.5753
3.5753 0.0000 3.5753
3.5753 3.5753 0.0000
```

Summary:
Space-group type: F-43m
E above lowest polymorph, eV per atom: 0.212
Total moment, μB/f.u.: 0.00

Record 5
The following is a PBE calculation of a geometry-optimized CeDyNiPd structure, from Alexandria via LeMat-Bulk. Values from VASP.

```
&SYSTEM
  ibrav = 0, nat = 4, ntyp = 4
/
ATOMIC_SPECIES
Ce 140.12 Ce.upf
Dy 162.50 Dy.upf
Ni 58.69 Ni.upf
Pd 106.42 Pd.upf
ATOMIC_POSITIONS angstrom
Ce 0.0000 0.0000 0.0000
Dy 3.4868 3.4868 3.4868
Ni 1.7434 1.7434 1.7434
Pd 5.2302 5.2302 5.2302
CELL_PARAMETERS angstrom
0.0000 3.4868 3.4868
3.4868 0.0000 3.4868
3.4868 3.4868 0.0000
```

Summary:
Energy, eV per atom: -5.873
Space-group type: F-43m
Total moment, μB/f.u.: 0.56

Record 6
The following is a PBE calculation of a geometry-optimized KNa2IF6 structure, from Alexandria via LeMat-Bulk. Values from VASP.

```
&SYSTEM
  ibrav = 0, nat = 10, ntyp = 4
/
ATOMIC_SPECIES
K 39.10 K.upf
Na 22.99 Na.upf
I 126.90 I.upf
F 19.00 F.upf
ATOMIC_POSITIONS angstrom
K 0.0000 0.0000 0.0000
Na 0.1892 0.0241 3.8141
Na 0.1767 3.6100 1.0944
I -2.5927 2.2816 3.0898
F -1.8702 3.9862 1.9458
F -1.8433 0.7460 4.4426
F -0.6436 1.7271 2.3481
F 3.3619 0.1692 0.2128
F 1.7737 3.6402 2.7858
F 1.7891 1.6155 4.3318
CELL_PARAMETERS angstrom
5.9674 0.0000 0.0000
-2.8412 5.4638 0.0000
-2.8157 -1.5380 5.3170
```

Summary:
Space-group type: P1
Raw formation energy, eV per atom: -2.185
Total moment, μB/f.u.: 0.00

Record 7
The following is a PBE calculation of a geometry-optimized Sr2YAs structure, from Alexandria via LeMat-Bulk. Values from VASP.

```
&SYSTEM
  ibrav = 0, nat = 4, ntyp = 3
/
ATOMIC_SPECIES
Sr 87.62 Sr.upf
Y 88.91 Y.upf
As 74.92 As.upf
ATOMIC_POSITIONS angstrom
Sr 0.0000 0.0000 0.0000
Sr 1.9983 1.9983 1.9983
Y 5.9949 5.9949 5.9949
As 3.9966 3.9966 3.9966
CELL_PARAMETERS angstrom
0.0000 3.9966 3.9966
3.9966 0.0000 3.9966
3.9966 3.9966 0.0000
```

Summary:
Energy, eV per atom: -3.618
Space-group type: F-43m
Total moment, μB/f.u.: 0.00

Record 8
The following is a PBE calculation of a geometry-optimized Ho2Zn2SnPd5 structure, from Alexandria via LeMat-Bulk. Values from VASP.

```
&SYSTEM
  ibrav = 0, nat = 20, ntyp = 4
/
ATOMIC_SPECIES
Ho 164.93 Ho.upf
Zn 65.41 Zn.upf
Sn 118.71 Sn.upf
Pd 106.42 Pd.upf
ATOMIC_POSITIONS angstrom
Ho 1.7169 3.1482 0.0000
Ho 3.1482 8.0133 0.0000
Ho 6.5820 1.7169 0.0000
Ho 8.0133 6.5820 0.0000
Zn 1.1662 6.0313 0.0000
Zn 3.6990 1.1662 0.0000
Zn 6.0313 8.5641 0.0000
Zn 8.5641 3.6990 0.0000
Sn 0.0000 0.0000 0.0000
Sn 4.8651 4.8651 0.0000
Pd 0.0000 4.8651 1.9078
Pd 0.6691 7.7069 1.9078
Pd 2.0234 0.6691 1.9078
Pd 2.8418 5.5343 1.9078
Pd 4.1960 2.8418 1.9078
Pd 4.8651 0.0000 1.9078
Pd 5.5343 6.8885 1.9078
Pd 6.8885 4.1960 1.9078
Pd 7.7069 9.0611 1.9078
Pd 9.0611 2.0234 1.9078
CELL_PARAMETERS angstrom
9.7302 0.0000 0.0000
0.0000 9.7302 0.0000
0.0000 0.0000 3.8157
```

Summary:
Energy, eV per atom: -4.892
Space-group type: P4/mbm
Total moment, μB/f.u.: 0.00

Record 9
The following is a PBE calculation of a geometry-optimized CaLaGa structure, from Alexandria via LeMat-Bulk. Values from VASP.

```
&SYSTEM
  ibrav = 0, nat = 6, ntyp = 3
/
ATOMIC_SPECIES
Ca 40.08 Ca.upf
La 138.91 La.upf
Ga 69.72 Ga.upf
ATOMIC_POSITIONS angstrom
Ca 2.2711 6.2046 3.1868
Ca 2.2711 -6.2046 1.0623
La 2.2711 1.6105 3.1868
La 2.2711 -1.6105 1.0623
Ga 2.2711 9.3976 3.1868
Ga 2.2711 -9.3976 1.0623
CELL_PARAMETERS angstrom
2.2711 -10.1797 0.0000
2.2711 10.1797 0.0000
0.0000 0.0000 4.2490
```

Summary:
Space-group type: Cmcm
E above lowest polymorph, eV per atom: 0.068
Total moment, μB/f.u.: 0.24

Record 10
The following is a PBE calculation of a geometry-optimized HoTmPu2As4 structure, from Alexandria via LeMat-Bulk. Values from VASP.

```
&SYSTEM
  ibrav = 0, nat = 8, ntyp = 4
/
ATOMIC_SPECIES
Ho 164.93 Ho.upf
Tm 168.93 Tm.upf
Pu 244.00 Pu.upf
As 74.92 As.upf
ATOMIC_POSITIONS angstrom
Ho 0.0000 0.0000 0.0000
Tm -1.1966 2.0590 3.3578
Pu 2.3441 0.0000 3.3578
Pu 3.5407 2.0590 0.0000
As -0.0262 0.0000 5.0277
As 1.1704 2.0590 1.6872
As 3.5178 2.0590 5.0285
As 4.7144 0.0000 1.6879
CELL_PARAMETERS angstrom
7.0814 0.0000 0.0000
0.0000 4.1179 0.0000
-2.3932 0.0000 6.7157
```

Summary:
Energy, eV per atom: -8.306
Space-group type: P2/m
Total moment, μB/f.u.: 9.90

Record 11
The following is a PBE calculation of a geometry-optimized ZnGaSb2 structure, from Alexandria via LeMat-Bulk. Values from VASP.

```
&SYSTEM
  ibrav = 0, nat = 4, ntyp = 3
/
ATOMIC_SPECIES
Zn 65.41 Zn.upf
Ga 69.72 Ga.upf
Sb 121.76 Sb.upf
ATOMIC_POSITIONS angstrom
Zn 0.0000 0.0000 0.0000
Ga 3.5727 3.5727 3.5727
Sb 1.7863 1.7863 1.7863
Sb 5.3590 5.3590 5.3590
CELL_PARAMETERS angstrom
0.0000 3.5727 3.5727
3.5727 0.0000 3.5727
3.5727 3.5727 0.0000
```

Summary:
Space-group type: Fm-3m
Raw formation energy, eV per atom: 0.172
E above lowest polymorph, eV per atom: 0.202
Total moment, μB/f.u.: 0.00

Record 12
The following is a PBE calculation of a geometry-optimized Ac2PuTl structure, from Alexandria via LeMat-Bulk. Values from VASP.

```
&SYSTEM
  ibrav = 0, nat = 4, ntyp = 3
/
ATOMIC_SPECIES
Ac 227.00 Ac.upf
Pu 244.00 Pu.upf
Tl 204.38 Tl.upf
ATOMIC_POSITIONS angstrom
Ac 2.0647 2.0647 2.0647
Ac 6.1941 6.1941 6.1941
Pu 0.0000 0.0000 0.0000
Tl 4.1294 4.1294 4.1294
CELL_PARAMETERS angstrom
0.0000 4.1294 4.1294
4.1294 0.0000 4.1294
4.1294 4.1294 0.0000
```

Summary:
Space-group type: Fm-3m
E above lowest polymorph, eV per atom: 0.073
Total moment, μB/f.u.: 6.75